Below is a relaxed Na3Hg7Au2 crystal, with properties calculated at the PBE level.

Properties
ΔH_f (0 K) = -13.7 kJ per mole of atoms
Symmetry = No. 65
N(E_F) = 3.496 states/eV/f.u.
Energy above the most stable polymorph in this dataset = 0.016 eV/atom

a = 13.724 Å, b = 13.724 Å, c = 4.889 Å
α = 90.00°, β = 90.00°, γ = 160.02°
Element x y z (fractional)
Na1 0.000 0.000 0.000
Na2 0.202 0.798 0.500
Na3 0.798 0.202 0.500
Hg1 0.082 0.918 0.500
Hg2 0.291 0.709 0.000
Hg3 0.419 0.581 0.000
Hg4 0.500 0.500 0.500
Hg5 0.581 0.419 0.000
Hg6 0.709 0.291 0.000
Hg7 0.918 0.082 0.500
Au1 0.142 0.858 0.000
Au2 0.858 0.142 0.000